--- 1 ---
The following is a GGA-PBE calculation of a relaxed LaPmPdAu crystal, from Alexandria.

Output
mass density: 9.7 g/cm³

Cell: 7.388 7.388 7.388 Å, 90.00 90.00 90.00°
Space group F-43m (No. 216)
Unique sites:
La: 0.000 0.000 0.000 (multiplicity 4)
Pm: 0.000 0.000 0.500 (multiplicity 4)
Pd: 0.250 0.250 0.750 (multiplicity 4)
Au: 0.250 0.250 0.250 (multiplicity 4)


--- 2 ---
The following is a GGA-PBE calculation of a relaxed LaPmPdAu crystal, from Alexandria.

Output
mass density: 9.4 g/cm³

Cell: 4.821 3.935 10.988 Å, 90.00 90.00 90.00°
Space group Amm2 (No. 38)
Unique sites:
La: 0.000 0.000 0.000 (multiplicity 2)
Pm: 0.500 0.000 0.726 (multiplicity 2)
Pd: 0.000 0.000 0.275 (multiplicity 2)
Au: 0.500 0.000 0.446 (multiplicity 2)


Preferred: 2; penalty for the next structure: 0.067 eV/atom.


--- 1 ---
The following is a GGA-PBE calculation of a relaxed LaPrPdAu crystal, from Alexandria.

Output
mass density: 9.4 g/cm³

Cell: 7.435 7.435 7.435 Å, 90.00 90.00 90.00°
Space group F-43m (No. 216)
Unique sites:
La: 0.000 0.000 0.000 (multiplicity 4)
Pr: 0.000 0.000 0.500 (multiplicity 4)
Pd: 0.250 0.250 0.750 (multiplicity 4)
Au: 0.250 0.250 0.250 (multiplicity 4)


--- 2 ---
The following is a GGA-PBE calculation of a relaxed LaPrPdAu crystal, from Alexandria.

Output
mass density: 9.1 g/cm³

Cell: 4.738 3.963 11.309 Å, 90.00 90.00 90.00°
Space group Amm2 (No. 38)
Unique sites:
La: 0.000 0.000 0.000 (multiplicity 2)
Pr: 0.500 0.000 0.727 (multiplicity 2)
Pd: 0.500 0.000 0.451 (multiplicity 2)
Au: 0.000 0.000 0.279 (multiplicity 2)


Preferred: 2; penalty for the next structure: 0.072 eV/atom.


--- 1 ---
The following is a GGA-PBE calculation of a relaxed LaPuPdAu crystal, from Alexandria.

Output
mass density: 11.6 g/cm³

Cell: 7.325 7.325 7.325 Å, 90.00 90.00 90.00°
Space group F-43m (No. 216)
Unique sites:
La: 0.000 0.000 0.000 (multiplicity 4)
Pu: 0.000 0.000 0.500 (multiplicity 4)
Pd: 0.250 0.250 0.250 (multiplicity 4)
Au: 0.250 0.250 0.750 (multiplicity 4)


--- 2 ---
The following is a GGA-PBE calculation of a relaxed LaPuPdAu crystal, from Alexandria.

Output
mass density: 11.1 g/cm³

Cell: 4.664 3.981 11.020 Å, 90.00 90.00 90.00°
Space group Amm2 (No. 38)
Unique sites:
La: 0.000 0.000 0.000 (multiplicity 2)
Pu: 0.500 0.000 0.279 (multiplicity 2)
Pd: 0.000 0.000 0.730 (multiplicity 2)
Au: 0.500 0.000 0.561 (multiplicity 2)


Preferred: 2; penalty for the next structure: 0.038 eV/atom.


--- 1 ---
The following is a GGA-PBE calculation of a relaxed LaThPdAu crystal, from Alexandria.

Output
mass density: 11.0 g/cm³

Cell: 7.404 7.404 7.404 Å, 90.00 90.00 90.00°
Space group F-43m (No. 216)
Unique sites:
La: 0.000 0.000 0.000 (multiplicity 4)
Th: 0.000 0.000 0.500 (multiplicity 4)
Pd: 0.250 0.250 0.750 (multiplicity 4)
Au: 0.250 0.250 0.250 (multiplicity 4)


--- 2 ---
The following is a GGA-PBE calculation of a relaxed LaThPdAu crystal, from Alexandria.

Output
mass density: 10.6 g/cm³

Cell: 4.637 3.920 11.570 Å, 90.00 90.00 90.00°
Space group Amm2 (No. 38)
Unique sites:
La: 0.000 0.000 0.000 (multiplicity 2)
Th: 0.500 0.000 0.726 (multiplicity 2)
Pd: 0.000 0.000 0.266 (multiplicity 2)
Au: 0.500 0.000 0.442 (multiplicity 2)


Preferred: 2; penalty for the next structure: 0.102 eV/atom.


--- 1 ---
The following is a GGA-PBE calculation of a relaxed LaTmPdAu crystal, from Alexandria.

Output
mass density: 10.3 g/cm³

Cell: 4.825 3.836 10.669 Å, 90.00 90.00 90.00°
Space group Amm2 (No. 38)
Unique sites:
La: 0.000 0.000 0.000 (multiplicity 2)
Tm: 0.500 0.000 0.725 (multiplicity 2)
Pd: 0.000 0.000 0.271 (multiplicity 2)
Au: 0.500 0.000 0.442 (multiplicity 2)


--- 2 ---
The following is a GGA-PBE calculation of a relaxed LaTmPdAu crystal, from Alexandria.

Output
mass density: 10.6 g/cm³

Cell: 7.263 7.263 7.263 Å, 90.00 90.00 90.00°
Space group F-43m (No. 216)
Unique sites:
La: 0.000 0.000 0.000 (multiplicity 4)
Tm: 0.000 0.000 0.500 (multiplicity 4)
Pd: 0.250 0.250 0.750 (multiplicity 4)
Au: 0.250 0.250 0.250 (multiplicity 4)


Preferred: 1; penalty for the next structure: 0.051 eV/atom.


--- 1 ---
The following is a GGA-PBE calculation of a relaxed La2VPdAu crystal, from Alexandria.

Output
mass density: 7.6 g/cm³

Cell: 5.375 5.375 4.754 Å, 90.00 90.00 90.00°
Space group P4/mmm (No. 123)
Unique sites:
La: 0.000 0.500 0.000 (multiplicity 2)
V: 0.000 0.000 0.000 (multiplicity 1)
Pd: 0.500 0.500 0.500 (multiplicity 1)
Au: 0.000 0.000 0.500 (multiplicity 1)


--- 2 ---
The following is a GGA-PBE calculation of a relaxed La2VPdAu crystal, from Alexandria.

Output
mass density: 6.5 g/cm³

Cell: 5.659 5.659 5.038 Å, 90.00 90.00 90.00°
Space group P4/mmm (No. 123)
Unique sites:
La: 0.000 0.500 0.000 (multiplicity 2)
V: 0.000 0.000 0.500 (multiplicity 1)
Pd: 0.500 0.500 0.500 (multiplicity 1)
Au: 0.500 0.500 0.000 (multiplicity 1)


Preferred: 1; penalty for the next structure: 0.165 eV/atom.


--- 1 ---
The following is a GGA-PBE calculation of a relaxed La2PmAu crystal, from Alexandria.

Output
mass density: 7.7 g/cm³

Cell: 3.9098 3.9098 30.3789 Å, 90.00 90.00 120.00°
Space group R3m (No. 160, hexagonal axes)
Unique sites:
La: 0.0000 0.0000 0.0000 (multiplicity 3)
La: 0.0000 0.0000 0.1927 (multiplicity 3)
Pm: 0.0000 0.0000 0.7639 (multiplicity 3)
Au: 0.0000 0.0000 0.5960 (multiplicity 3)


--- 2 ---
The following is a GGA-PBE calculation of a relaxed La2PmAu crystal, from Alexandria.

Output
mass density: 8.1 g/cm³

Cell: 4.903 8.387 6.617 Å, 90.00 111.70 90.00°
Space group P2_1/m (No. 11)
Unique sites:
La: 0.138 0.035 0.275 (multiplicity 4)
Pm: 0.449 0.250 0.899 (multiplicity 2)
Au: 0.289 0.750 0.579 (multiplicity 2)


--- 3 ---
The following is a GGA-PBE calculation of a relaxed La2PmAu crystal, from Alexandria.

Output
mass density: 7.9 g/cm³

Cell: 7.306 10.521 6.738 Å, 90.00 90.00 90.00°
Space group Pnma (No. 62)
Unique sites:
La: 0.196 0.053 0.171 (multiplicity 8)
Pm: 0.021 0.250 0.640 (multiplicity 4)
Au: 0.105 0.750 0.929 (multiplicity 4)


Preferred: 3; penalty for the next structure: 0.021 eV/atom.


--- 1 ---
The following is a GGA-PBE calculation of a relaxed La2PmAu crystal, from Alexandria.

Output
mass density: 8.2 g/cm³

Cell: 3.811 3.811 8.661 Å, 90.00 90.00 90.00°
Space group P4/mmm (No. 123)
Unique sites:
La: 0.000 0.000 0.211 (multiplicity 2)
Pm: 0.500 0.500 0.500 (multiplicity 1)
Au: 0.500 0.500 0.000 (multiplicity 1)


--- 2 ---
The following is a GGA-PBE calculation of a relaxed La2PmAu crystal, from Alexandria.

Output
mass density: 8.7 g/cm³

Cell: 7.778 7.778 7.778 Å, 90.00 90.00 90.00°
Space group Fm-3m (No. 225)
Unique sites:
La: 0.250 0.250 0.250 (multiplicity 8)
Pm: 0.000 0.000 0.000 (multiplicity 4)
Au: 0.000 0.000 0.500 (multiplicity 4)


Preferred: 1; penalty for the next structure: 0.219 eV/atom.


--- 1 ---
The following is a GGA-PBE calculation of a relaxed LaPmRhAu crystal, from Alexandria.

Output
mass density: 9.7 g/cm³

Cell: 4.500 4.015 11.114 Å, 90.00 90.00 90.00°
Space group Amm2 (No. 38)
Unique sites:
La: 0.000 0.000 0.000 (multiplicity 2)
Pm: 0.500 0.000 0.278 (multiplicity 2)
Rh: 0.500 0.000 0.540 (multiplicity 2)
Au: 0.000 0.000 0.719 (multiplicity 2)


--- 2 ---
The following is a GGA-PBE calculation of a relaxed LaPmRhAu crystal, from Alexandria.

Output
mass density: 10.0 g/cm³

Cell: 7.301 7.301 7.301 Å, 90.00 90.00 90.00°
Space group F-43m (No. 216)
Unique sites:
La: 0.000 0.000 0.000 (multiplicity 4)
Pm: 0.000 0.000 0.500 (multiplicity 4)
Rh: 0.250 0.250 0.250 (multiplicity 4)
Au: 0.250 0.250 0.750 (multiplicity 4)


Preferred: 1; penalty for the next structure: 0.083 eV/atom.


--- 1 ---
The following is a GGA-PBE calculation of a relaxed LaPrAu crystal, from Alexandria.

Output
mass density: 8.7 g/cm³

Cell: 3.794 3.794 12.655 Å, 90.00 90.00 90.00°
Space group I4mm (No. 107)
Unique sites:
La: 0.000 0.000 0.000 (multiplicity 2)
Pr: 0.000 0.000 0.288 (multiplicity 2)
Au: 0.000 0.000 0.646 (multiplicity 2)


--- 2 ---
The following is a GGA-PBE calculation of a relaxed LaPrAu crystal, from Alexandria.

Output
mass density: 7.9 g/cm³

Cell: 7.360 7.360 7.360 Å, 90.00 90.00 90.00°
Space group F-43m (No. 216)
Unique sites:
La: 0.000 0.000 0.000 (multiplicity 4)
Pr: 0.000 0.000 0.500 (multiplicity 4)
Au: 0.250 0.250 0.750 (multiplicity 4)


--- 3 ---
The following is a GGA-PBE calculation of a relaxed LaPrAu crystal, from Alexandria.

Output
mass density: 8.0 g/cm³

Cell: 7.009 7.610 7.393 Å, 90.00 90.50 90.00°
Space group P2_1/c (No. 14)
Unique sites:
La: 0.071 0.249 0.000 (multiplicity 4)
Pr: 0.395 0.591 0.249 (multiplicity 4)
Au: 0.206 0.546 0.754 (multiplicity 4)


Preferred: 1; penalty for the next structure: 0.008 eV/atom.


--- 1 ---
The following is a GGA-PBE calculation of a relaxed LaPrRhAu crystal, from Alexandria.

Output
mass density: 9.7 g/cm³

Cell: 7.351 7.351 7.351 Å, 90.00 90.00 90.00°
Space group F-43m (No. 216)
Unique sites:
La: 0.000 0.000 0.000 (multiplicity 4)
Pr: 0.000 0.000 0.500 (multiplicity 4)
Rh: 0.250 0.250 0.250 (multiplicity 4)
Au: 0.250 0.250 0.750 (multiplicity 4)


--- 2 ---
The following is a GGA-PBE calculation of a relaxed LaPrRhAu crystal, from Alexandria.

Output
mass density: 9.4 g/cm³

Cell: 4.537 4.052 11.149 Å, 90.00 90.00 90.00°
Space group Amm2 (No. 38)
Unique sites:
La: 0.000 0.000 0.000 (multiplicity 2)
Pr: 0.500 0.000 0.278 (multiplicity 2)
Rh: 0.500 0.000 0.539 (multiplicity 2)
Au: 0.000 0.000 0.717 (multiplicity 2)


Preferred: 2; penalty for the next structure: 0.085 eV/atom.


--- 1 ---
The following is a GGA-PBE calculation of a relaxed LaPrZnAu crystal, from Alexandria.

Output
mass density: 8.5 g/cm³

Cell: 7.521 7.521 7.521 Å, 90.00 90.00 90.00°
Space group F-43m (No. 216)
Unique sites:
La: 0.000 0.000 0.000 (multiplicity 4)
Pr: 0.000 0.000 0.500 (multiplicity 4)
Zn: 0.250 0.250 0.750 (multiplicity 4)
Au: 0.250 0.250 0.250 (multiplicity 4)


--- 2 ---
The following is a GGA-PBE calculation of a relaxed LaPrZnAu crystal, from Alexandria.

Output
mass density: 8.5 g/cm³

Cell: 3.789 3.789 7.351 Å, 90.00 90.00 90.00°
Space group P4mm (No. 99)
Unique sites:
La: 0.000 0.000 0.000 (multiplicity 1)
Pr: 0.000 0.000 0.496 (multiplicity 1)
Zn: 0.500 0.500 0.255 (multiplicity 1)
Au: 0.500 0.500 0.746 (multiplicity 1)


Preferred: 2; penalty for the next structure: 0.022 eV/atom.